DFT (GGA-PBEsol) results for an optimized crystal structure of Sc2CN.

Values from the calculation:
crystal system = cubic
calculated volume = 11.1 Å³/atom
formation energy from raw total energies = -0.27 eV/atom
energy above the most stable polymorph in this dataset = 0 meV/atom

a = 3.977 Å, b = 3.977 Å, c = 3.977 Å
α = 60.00°, β = 60.00°, γ = 60.00°
Positions (direct):
Sc  0.250  0.250  0.250
Sc  0.750  0.750  0.750
C  0.000  0.000  0.000
N  0.500  0.500  0.500

DFT (GGA-PBEsol) results for an optimized crystal structure of ScTeCN2.

Values from the calculation:
crystal system = tetragonal
calculated volume = 18.3 Å³/atom
formation energy from raw total energies = 1.82 eV/atom

a = 3.844 Å, b = 3.844 Å, c = 6.190 Å
α = 90.00°, β = 90.00°, γ = 90.00°
Each line ends with the local moment (μB).
Positions (direct):
Sc  0.000  0.000  0.000  0.00
C  0.500  0.500  0.500  0.36
Te  0.000  0.000  0.500  -0.04
N  0.000  0.500  0.000  0.19
N  0.500  0.000  0.000  0.19

DFT (GGA-PBEsol) results for an optimized crystal structure of SnCSe2N.

Values from the calculation:
crystal system = tetragonal
calculated volume = 17.8 Å³/atom
formation energy from raw total energies = 0.61 eV/atom

a = 2.571 Å, b = 5.887 Å, c = 5.887 Å
α = 90.00°, β = 90.00°, γ = 90.00°
Positions (direct):
C  0.000  0.000  0.000
Sn  0.500  0.500  0.500
Se  0.000  0.000  0.500
Se  0.000  0.500  0.000
N  0.500  0.000  0.000

DFT (GGA-PBEsol) results for an optimized crystal structure of TcCSeN2.

Values from the calculation:
crystal system = tetragonal
calculated volume = 10.1 Å³/atom
formation energy from raw total energies = 2.12 eV/atom

a = 3.584 Å, b = 3.584 Å, c = 3.922 Å
α = 90.00°, β = 90.00°, γ = 90.00°
Each line ends with the local moment (μB).
Positions (direct):
C  0.000  0.000  0.000  0.00
Tc  0.500  0.500  0.500  0.64
Se  0.000  0.000  0.500  -0.01
N  0.000  0.500  0.000  -0.05
N  0.500  0.000  0.000  -0.05

DFT (GGA-PBEsol) results for an optimized crystal structure of YCSeN2.

Values from the calculation:
crystal system = tetragonal
calculated volume = 21.7 Å³/atom
formation energy from raw total energies = 2.18 eV/atom

a = 4.352 Å, b = 4.352 Å, c = 5.735 Å
α = 90.00°, β = 90.00°, γ = 90.00°
Each line ends with the local moment (μB).
Positions (direct):
Y  0.000  0.000  0.000  0.25
C  0.500  0.500  0.500  0.61
Se  0.000  0.000  0.500  -0.05
N  0.000  0.500  0.000  1.20
N  0.500  0.000  0.000  1.20

DFT (GGA-PBEsol) results for an optimized crystal structure of Si2CN.

Values from the calculation:
crystal system = cubic
calculated volume = 8.8 Å³/atom
formation energy from raw total energies = 1.33 eV/atom

a = 3.672 Å, b = 3.672 Å, c = 3.672 Å
α = 60.00°, β = 60.00°, γ = 60.00°
Positions (direct):
Si  0.250  0.250  0.250
Si  0.750  0.750  0.750
C  0.000  0.000  0.000
N  0.500  0.500  0.500

> Which value of calculated volume does entry 6 give?

8.8 Å³/atom

> Look up the calculated volume of the fifth one.

21.7 Å³/atom